Record 1
First-principles (PBE) data for KSmGeO4 after structural relaxation, as listed in the Alexandria database.

Structure (POSCAR):
```
KSmGeO4
1.0
5.867 0.000 0.000
0.000 5.906 0.000
-2.091 0.000 7.156
K Sm Ge O
2 2 2 8
direct
0.180 0.250 0.423 K
0.820 0.750 0.577 K
0.292 0.250 0.955 Sm
0.708 0.750 0.045 Sm
0.244 0.750 0.168 Ge
0.756 0.250 0.832 Ge
0.050 0.750 0.310 O
0.050 0.750 0.937 O
0.450 0.520 0.185 O
0.450 0.980 0.185 O
0.550 0.020 0.815 O
0.550 0.480 0.815 O
0.950 0.250 0.063 O
0.950 0.250 0.690 O
```

As for the total energy: -6.675 eV per atom. Its space-group type is No. 11.

***

Record 2
First-principles (PBE) data for Ag2IrAuCl8 after structural relaxation, as listed in the Alexandria database.

Structure (POSCAR):
```
Ag2IrAuCl8
1.0
6.473 0.000 0.000
1.866 6.318 0.000
1.515 0.957 7.687
Ag Ir Au Cl
2 1 1 8
direct
0.060 0.090 0.220 Ag
0.940 0.910 0.780 Ag
0.500 0.500 0.000 Ir
0.500 0.500 0.500 Au
0.240 0.398 0.228 Cl
0.250 0.839 0.491 Cl
0.267 0.849 0.967 Cl
0.336 0.404 0.800 Cl
0.664 0.596 0.200 Cl
0.733 0.151 0.033 Cl
0.750 0.161 0.509 Cl
0.760 0.602 0.772 Cl
```

As for the total energy: -3.118 eV per atom. Its space-group type is No. 2.

***

Record 3
First-principles (PBE) data for KPd2Pb8 after structural relaxation, as listed in the Alexandria database.

Structure (POSCAR):
```
KPd2Pb8
1.0
4.562 -6.506 0.000
4.562 6.506 0.000
-0.992 0.000 5.472
K Pd Pb
1 2 8
direct
0.000 0.000 0.000 K
0.317 0.683 0.500 Pd
0.683 0.317 0.500 Pd
0.077 0.345 0.618 Pb
0.265 0.735 0.000 Pb
0.345 0.077 0.618 Pb
0.388 0.388 0.211 Pb
0.612 0.612 0.789 Pb
0.655 0.923 0.382 Pb
0.735 0.265 0.000 Pb
0.923 0.655 0.382 Pb
```

Its formation energy is -92 meV per atom. As for the total energy: -3.832 eV per atom. For the energy above the lowest structure with this stoichiometry, the calculation gives 0.0000 eV/atom. Its space-group type is No. 12.

***

Record 4
First-principles (PBE) data for La6MgIn after structural relaxation, as listed in the Alexandria database.

Structure (POSCAR):
```
La6MgIn
1.0
6.494 0.000 0.000
0.012 6.496 0.000
0.002 0.010 6.497
La Mg In
6 1 1
direct
0.001 0.263 0.496 La
0.237 0.000 0.993 La
0.496 0.509 0.236 La
0.504 0.491 0.764 La
0.763 0.000 0.007 La
0.999 0.737 0.504 La
0.500 0.000 0.500 Mg
0.000 0.500 0.000 In
```

Its formation energy is -95 meV per atom. As for the total energy: -4.332 eV per atom. For the energy above the lowest structure with this stoichiometry, the calculation gives 0.0121 eV/atom. Its space-group type is No. 2.

***

Record 5
First-principles (PBE) data for AlCdSeBr2 after structural relaxation, as listed in the Alexandria database.

Structure (POSCAR):
```
AlCdSeBr2
1.0
5.538 0.000 0.000
0.000 5.538 0.000
0.000 0.000 5.325
Al Cd Se Br
1 1 1 2
direct
0.000 0.000 0.000 Al
0.500 0.500 0.500 Cd
0.500 0.500 0.000 Se
0.000 0.500 0.500 Br
0.500 0.000 0.500 Br
```

As for the total energy: -2.318 eV per atom. For the energy above the lowest structure with this stoichiometry, the calculation gives 0.3370 eV/atom. Its space-group type is No. 123.

***

Record 6
First-principles (PBE) data for GePb3S4 after structural relaxation, as listed in the Alexandria database.

Structure (POSCAR):
```
GePb3S4
1.0
11.778 0.000 0.000
0.000 5.969 0.000
0.000 0.000 5.967
Ge Pb S
2 6 8
direct
0.000 0.218 0.000 Ge
0.500 0.782 0.500 Ge
0.000 0.754 0.522 Pb
0.250 0.249 0.526 Pb
0.250 0.751 0.026 Pb
0.500 0.246 0.022 Pb
0.750 0.249 0.526 Pb
0.750 0.751 0.026 Pb
0.000 0.237 0.591 S
0.000 0.811 0.034 S
0.244 0.248 0.031 S
0.256 0.752 0.531 S
0.500 0.189 0.534 S
0.500 0.763 0.091 S
0.744 0.752 0.531 S
0.756 0.248 0.031 S
```

As for the total energy: -4.483 eV per atom. Its space-group type is No. 31.

***

Record 7
First-principles (PBE) data for ScTi5Ir6 after structural relaxation, as listed in the Alexandria database.

Structure (POSCAR):
```
ScTi5Ir6
1.0
-2.125 3.473 6.256
2.125 -3.473 6.256
2.125 3.473 -6.256
Sc Ti Ir
1 5 6
direct
0.000 0.000 0.000 Sc
0.157 0.657 0.500 Ti
0.322 0.322 0.000 Ti
0.500 0.000 0.500 Ti
0.678 0.678 0.000 Ti
0.843 0.343 0.500 Ti
0.098 0.831 0.267 Ir
0.276 0.500 0.776 Ir
0.436 0.169 0.267 Ir
0.564 0.831 0.733 Ir
0.724 0.500 0.224 Ir
0.902 0.169 0.733 Ir
```

Its formation energy is -862 meV per atom. As for the total energy: -9.109 eV per atom. Its space-group type is No. 71.

***

Record 8
First-principles (PBE) data for Mn2ZnHgPt after structural relaxation, as listed in the Alexandria database.

Structure (POSCAR):
```
Mn2ZnHgPt
1.0
4.646 0.000 0.000
0.000 4.646 0.000
0.000 0.000 4.641
Mn Zn Hg Pt
2 1 1 1
direct
0.000 0.500 0.000 Mn
0.500 0.000 0.000 Mn
0.000 0.000 0.000 Zn
0.500 0.500 0.500 Hg
0.000 0.000 0.500 Pt
```

Its formation energy is 687 meV per atom. As for the total energy: -4.504 eV per atom. Its space-group type is No. 123.

***

Record 9
First-principles (PBE) data for SrMgRh after structural relaxation, as listed in the Alexandria database.

Structure (POSCAR):
```
SrMgRh
1.0
0.000 3.417 3.417
3.417 0.000 3.417
3.417 3.417 0.000
Sr Mg Rh
1 1 1
direct
0.000 0.000 0.000 Sr
0.500 0.500 0.500 Mg
0.750 0.750 0.750 Rh
```

Its formation energy is -104 meV per atom. As for the total energy: -3.647 eV per atom. Its space-group type is No. 216.

***

Record 10
First-principles (PBE) data for Na6GePb2 after structural relaxation, as listed in the Alexandria database.

Structure (POSCAR):
```
Na6GePb2
1.0
2.742 1.583 10.451
-2.742 1.583 10.451
0.000 -3.166 10.451
Na Ge Pb
6 1 2
direct
0.078 0.078 0.078 Na
0.196 0.196 0.196 Na
0.306 0.306 0.306 Na
0.694 0.694 0.694 Na
0.804 0.804 0.804 Na
0.922 0.922 0.922 Na
0.500 0.500 0.500 Ge
0.411 0.411 0.411 Pb
0.589 0.589 0.589 Pb
```

Its formation energy is -87 meV per atom. As for the total energy: -2.303 eV per atom. Its space-group type is No. 166.

***

Record 11
First-principles (PBE) data for K2In2Sb2S after structural relaxation, as listed in the Alexandria database.

Structure (POSCAR):
```
K2In2Sb2S
1.0
6.643 -2.098 0.000
6.643 2.098 0.000
-2.543 0.000 7.970
K In Sb S
2 2 2 1
direct
0.001 0.001 0.274 K
0.999 0.999 0.726 K
0.294 0.294 0.888 In
0.706 0.706 0.112 In
0.286 0.286 0.399 Sb
0.714 0.714 0.601 Sb
0.500 0.500 0.000 S
```

As for the total energy: -3.308 eV per atom. Its space-group type is No. 12.

***

Record 12
First-principles (PBE) data for MnCd2Ag after structural relaxation, as listed in the Alexandria database.

Structure (POSCAR):
```
MnCd2Ag
1.0
0.000 3.346 3.346
3.346 0.000 3.346
3.346 3.346 0.000
Mn Cd Ag
1 2 1
direct
0.000 0.000 0.000 Mn
0.500 0.500 0.500 Cd
0.750 0.750 0.750 Cd
0.250 0.250 0.250 Ag
```

Its formation energy is 159 meV per atom. As for the total energy: -3.303 eV per atom. Its space-group type is No. 216.

***

Record 13
First-principles (PBE) data for KCuHgI2 after structural relaxation, as listed in the Alexandria database.

Structure (POSCAR):
```
KCuHgI2
1.0
5.757 0.000 0.000
0.000 5.757 0.000
0.000 0.000 5.210
K Cu Hg I
1 1 1 2
direct
0.000 0.000 0.000 K
0.500 0.500 0.500 Cu
0.500 0.500 0.000 Hg
0.000 0.500 0.500 I
0.500 0.000 0.500 I
```

As for the total energy: -2.252 eV per atom. Its space-group type is No. 123.

***

Record 14
First-principles (PBE) data for NbAlTc2 after structural relaxation, as listed in the Alexandria database.

Structure (POSCAR):
```
NbAlTc2
1.0
-1.363 2.289 5.306
1.363 -2.289 5.306
1.363 2.289 -5.306
Nb Al Tc
1 1 2
direct
0.000 0.000 0.000 Nb
0.500 0.500 0.000 Al
0.279 0.279 0.000 Tc
0.721 0.721 0.000 Tc
```

Its formation energy is 493 meV per atom. As for the total energy: -8.143 eV per atom. Its space-group type is No. 71.

***

Record 15
First-principles (PBE) data for ReBW after structural relaxation, as listed in the Alexandria database.

Structure (POSCAR):
```
ReBW
1.0
5.383 -1.515 0.000
5.383 1.515 0.000
-0.960 0.000 4.472
Re B W
2 2 2
direct
0.077 0.077 0.286 Re
0.923 0.923 0.714 Re
0.269 0.269 0.622 B
0.731 0.731 0.378 B
0.350 0.350 0.169 W
0.650 0.650 0.831 W
```

Its formation energy is -280 meV per atom. As for the total energy: -10.973 eV per atom. For the energy above the lowest structure with this stoichiometry, the calculation gives 0.0000 eV/atom. Its space-group type is No. 12.

***

Record 16
First-principles (PBE) data for Ho3Tm6In after structural relaxation, as listed in the Alexandria database.

Structure (POSCAR):
```
Ho3Tm6In
1.0
9.486 0.000 0.000
0.000 5.486 0.000
-4.409 0.000 11.436
Ho Tm In
6 12 2
direct
0.026 0.250 0.369 Ho
0.101 0.750 0.222 Ho
0.273 0.250 0.973 Ho
0.727 0.750 0.027 Ho
0.899 0.250 0.778 Ho
0.974 0.750 0.631 Ho
0.038 0.750 0.931 Tm
0.191 0.250 0.669 Tm
0.258 0.750 0.514 Tm
0.347 0.250 0.294 Tm
0.348 0.750 0.827 Tm
0.426 0.750 0.139 Tm
0.574 0.250 0.861 Tm
0.652 0.250 0.173 Tm
0.653 0.750 0.706 Tm
0.742 0.250 0.486 Tm
0.809 0.750 0.331 Tm
0.962 0.250 0.069 Tm
0.469 0.250 0.582 In
0.531 0.750 0.418 In
```

Its formation energy is -73 meV per atom. As for the total energy: -4.403 eV per atom. For the energy above the lowest structure with this stoichiometry, the calculation gives 0.0000 eV/atom. Its space-group type is No. 11.

***

Record 17
First-principles (PBE) data for Ba3PbAu2O6 after structural relaxation, as listed in the Alexandria database.

Structure (POSCAR):
```
Ba3PbAu2O6
1.0
6.210 0.000 0.000
-3.105 5.378 0.000
0.000 0.000 6.939
Ba Pb Au O
3 1 2 6
direct
0.000 0.000 0.000 Ba
0.333 0.667 0.626 Ba
0.667 0.333 0.374 Ba
0.000 0.000 0.500 Pb
0.333 0.667 0.121 Au
0.667 0.333 0.879 Au
0.166 0.333 0.313 O
0.166 0.834 0.313 O
0.333 0.166 0.687 O
0.667 0.834 0.313 O
0.834 0.166 0.687 O
0.834 0.667 0.687 O
```

As for the total energy: -5.106 eV per atom. Its space-group type is No. 164.

***

Record 18
First-principles (PBE) data for Er12Ge3C5 after structural relaxation, as listed in the Alexandria database.

Structure (POSCAR):
```
Er12Ge3C5
1.0
-7.681 7.681 7.681
7.681 -7.681 7.681
7.681 7.681 -7.681
Er Ge C
48 12 20
direct
0.024 0.205 0.119 Er
0.024 0.319 0.905 Er
0.086 0.705 0.681 Er
0.086 0.881 0.405 Er
0.095 0.619 0.414 Er
0.095 0.976 0.681 Er
0.119 0.024 0.205 Er
0.119 0.595 0.914 Er
0.181 0.205 0.586 Er
0.181 0.476 0.595 Er
0.205 0.119 0.024 Er
0.205 0.586 0.181 Er
0.295 0.319 0.914 Er
0.295 0.476 0.381 Er
0.319 0.905 0.024 Er
0.319 0.914 0.295 Er
0.381 0.295 0.476 Er
0.381 0.586 0.905 Er
0.405 0.086 0.881 Er
0.405 0.819 0.524 Er
0.414 0.095 0.619 Er
0.414 0.819 0.795 Er
0.476 0.381 0.295 Er
0.476 0.595 0.181 Er
0.524 0.405 0.819 Er
0.524 0.619 0.705 Er
0.586 0.181 0.205 Er
0.586 0.905 0.381 Er
0.595 0.181 0.476 Er
0.595 0.914 0.119 Er
0.619 0.414 0.095 Er
0.619 0.705 0.524 Er
0.681 0.086 0.705 Er
0.681 0.095 0.976 Er
0.705 0.524 0.619 Er
0.705 0.681 0.086 Er
0.795 0.414 0.819 Er
0.795 0.881 0.976 Er
0.819 0.524 0.405 Er
0.819 0.795 0.414 Er
0.881 0.405 0.086 Er
0.881 0.976 0.795 Er
0.905 0.024 0.319 Er
0.905 0.381 0.586 Er
0.914 0.119 0.595 Er
0.914 0.295 0.319 Er
0.976 0.681 0.095 Er
0.976 0.795 0.881 Er
0.125 0.250 0.375 Ge
0.125 0.375 0.750 Ge
0.250 0.375 0.125 Ge
0.250 0.875 0.625 Ge
0.375 0.125 0.250 Ge
0.375 0.750 0.125 Ge
0.625 0.250 0.875 Ge
0.625 0.875 0.750 Ge
0.750 0.125 0.375 Ge
0.750 0.625 0.875 Ge
0.875 0.625 0.250 Ge
0.875 0.750 0.625 Ge
0.000 0.000 0.000 C
0.000 0.000 0.500 C
0.000 0.500 0.000 C
0.000 0.500 0.500 C
0.125 0.750 0.875 C
0.125 0.875 0.250 C
0.250 0.125 0.875 C
0.250 0.625 0.375 C
0.375 0.250 0.625 C
0.375 0.625 0.750 C
0.500 0.000 0.000 C
0.500 0.000 0.500 C
0.500 0.500 0.000 C
0.500 0.500 0.500 C
0.625 0.375 0.250 C
0.625 0.750 0.375 C
0.750 0.375 0.625 C
0.750 0.875 0.125 C
0.875 0.125 0.750 C
0.875 0.250 0.125 C
```

Its formation energy is -385 meV per atom. As for the total energy: -6.122 eV per atom. Its space-group type is No. 230.

***

Record 19
First-principles (PBE) data for CaMg2Au after structural relaxation, as listed in the Alexandria database.

Structure (POSCAR):
```
CaMg2Au
1.0
1.894 1.093 8.795
-1.894 1.093 8.795
0.000 -2.187 8.795
Ca Mg Au
1 2 1
direct
0.000 0.000 0.000 Ca
0.228 0.228 0.228 Mg
0.772 0.772 0.772 Mg
0.500 0.500 0.500 Au
```

Its formation energy is -201 meV per atom. As for the total energy: -2.318 eV per atom. Its space-group type is No. 166.

***

Record 20
First-principles (PBE) data for AsWCl2 after structural relaxation, as listed in the Alexandria database.

Structure (POSCAR):
```
AsWCl2
1.0
-2.234 2.234 3.494
2.234 -2.234 3.494
2.234 2.234 -3.494
As W Cl
1 1 2
direct
0.000 0.000 0.000 As
0.750 0.250 0.500 W
0.250 0.750 0.500 Cl
0.500 0.500 0.000 Cl
```

As for the total energy: -4.588 eV per atom. For the energy above the lowest structure with this stoichiometry, the calculation gives 0.9873 eV/atom. Its space-group type is No. 119.

***

Record 21
First-principles (PBE) data for CrCd4 after structural relaxation, as listed in the Alexandria database.

Structure (POSCAR):
```
CrCd4
1.0
5.368 0.000 0.000
0.000 5.368 0.000
0.000 0.000 5.368
Cr Cd
1 4
direct
0.000 0.000 0.000 Cr
0.000 0.000 0.500 Cd
0.000 0.500 0.000 Cd
0.500 0.000 0.000 Cd
0.500 0.500 0.500 Cd
```

Its formation energy is 588 meV per atom. As for the total energy: -2.068 eV per atom. Its space-group type is No. 221.